<1>
First-principles (PBE) data for crystalline Mg2Ga4Ag3 at its relaxed geometry, as listed in Alexandria via LeMat-Bulk.

a = 9.5109 Å, b = 4.1477 Å, c = 8.7854 Å
α = 90.00°, β = 109.93°, γ = 90.00°
Last column: nearest neighbours and their distance in Å.
Space group C2/m (No. 12)
Symmetry-distinct sites (fractional):
Mg  0.1718  0.0000  0.2238 (multiplicity 4)  5 Ag 2.90-2.95, 7 Ga 2.95-3.00
Ga  0.0075  0.5000  0.3338 (multiplicity 4)  3 Ga 2.89-2.97, 6 Ag 2.89-2.99, 3 Mg 2.95-3.00
Ga  0.1581  0.0000  0.8830 (multiplicity 4)  4 Ag 2.89-3.06, 4 Ga 2.89-3.02, 4 Mg 2.95-2.97
Ag  0.0000  0.5000  0.0000 (multiplicity 2)  8 Ga 2.91-3.06, 4 Mg 2.94
Ag  0.1643  0.0000  0.5570 (multiplicity 4)  6 Ga 2.89-2.99, 3 Mg 2.90-2.95, 3 Ag 2.94-3.01

Output
* DOS at the Fermi energy: 5.76 states/eV per cell


<2>
First-principles (PBE) data for crystalline Mg2Ga4Ag3 at its relaxed geometry, as listed in Alexandria via LeMat-Bulk.

a = 5.5281 Å, b = 14.7071 Å, c = 8.5407 Å
α = 90.00°, β = 90.00°, γ = 90.00°
Last column: nearest neighbours and their distance in Å.
Space group Cmce (No. 64)
Symmetry-distinct sites (fractional):
Mg  0.0000  0.0957  0.0758 (multiplicity 8)  4 Ag 2.91-3.17, 1 Mg 3.10, 6 Ga 3.13-3.18
Ga  0.0000  0.1860  0.5071 (multiplicity 8)  5 Ag 2.70-2.74, 2 Ga 3.02
Ga  0.2500  0.0705  0.7500 (multiplicity 8)  3 Ag 2.75-2.83, 4 Ga 2.76-3.02
Ag  0.0000  0.0000  0.5000 (multiplicity 4)  6 Ga 2.74-2.75
Ag  0.2500  0.2374  0.2500 (multiplicity 8)  5 Ga 2.70-2.83, 2 Ag 2.76, 2 Mg 2.91

Output
* DOS at the Fermi energy: 10.96 states/eV per cell


Here is how they stack up, most stable first: <1>, <2>.


<1>
First-principles (PBE) data for crystalline Mg3GaAg3 at its relaxed geometry, as listed in Alexandria via LeMat-Bulk.

a = 7.8259 Å, b = 7.8259 Å, c = 4.9026 Å
α = 90.00°, β = 90.00°, γ = 120.00°
Last column: nearest neighbours and their distance in Å.
Space group P6_3/m (No. 176)
Symmetry-distinct sites (fractional):
Mg  0.0929  0.4588  0.2500 (multiplicity 6)  5 Ag 2.85-3.05, 3 Ga 2.97-3.02, 4 Mg 3.06-3.08
Ga  0.3333  0.6667  0.7500 (multiplicity 2)  3 Ag 2.92, 9 Mg 2.97-3.02
Ag  0.0494  0.2432  0.7500 (multiplicity 6)  5 Mg 2.85-3.05, 1 Ga 2.92, 6 Ag 3.01-3.02

Output
* DOS at the Fermi energy: 4.52 states/eV per cell


<2>
First-principles (PBE) data for crystalline Mg3GaAg3 at its relaxed geometry, as listed in Alexandria via LeMat-Bulk.

a = 9.1691 Å, b = 9.1912 Å, c = 6.5149 Å
α = 90.00°, β = 90.11°, γ = 90.00°
Last column: nearest neighbours and their distance in Å.
Space group C2/m (No. 12)
Symmetry-distinct sites (fractional):
Mg  0.0012  0.0000  0.2604 (multiplicity 4)  6 Ag 2.90-3.11, 3 Mg 3.12-3.16, 1 Ga 3.16
Mg  0.2489  0.2654  0.2541 (multiplicity 8)  6 Ag 2.79-2.86, 2 Ga 2.87
Ga  0.1877  0.5000  0.5316 (multiplicity 4)  3 Ag 2.75-2.90, 4 Mg 2.87
Ag  0.0000  0.2633  0.0000 (multiplicity 4)  6 Mg 2.82-2.96, 2 Ag 3.03
Ag  0.0000  0.2670  0.5000 (multiplicity 4)  2 Ga 2.75, 6 Mg 2.79-2.91
Ag  0.2297  0.5000  0.9734 (multiplicity 4)  6 Mg 2.83-3.11, 1 Ga 2.90, 2 Ag 3.03

Output
* DOS at the Fermi energy: 11.28 states/eV per cell


Here is how they stack up, most stable first: <1>, <2>.